Entry from Alexandria: an optimized crystal structure of Li2Cr2O9 (PBE+U).

The value obtained for the energy is -5.94 eV per atom. The value obtained for the energy above the lowest structure with this stoichiometry is 0 meV/atom.

The space group is C2/c (No. 15) and the conventional cell measures 14.571, 8.399 and 6.511 Å, with angles of 90.00, 103.99 and 90.00 degrees. Symmetry generates all atoms from Li at (0.233, 0.084, 0.357), Cr at (0.115, 0.295, 0.892), O at (0.000, 0.356, 0.750), O at (0.119, 0.205, 0.112), O at (0.153, 0.139, 0.734), O at (0.167, 0.209, 0.558) and O at (0.194, 0.439, 0.900).